DFT (PBE) results for crystalline Rb2HfI4Br2 at its relaxed geometry.

Cell: 8.382 8.082 8.082 Å, 61.97 58.73 58.73°
Fractional positions:
Rb  0.226  0.752  0.752
Rb  0.774  0.248  0.248
Hf  0.500  0.000  0.000
I  0.289  0.727  0.214
I  0.711  0.786  0.273
I  0.711  0.273  0.786
I  0.289  0.214  0.727
Br  0.216  0.233  0.233
Br  0.784  0.767  0.767

Computed properties:
ΔE_f (raw): -1.342 eV/atom
ρ: 4.390 g/cm³
magnetization: 0.0 μB per formula unit

DFT (PBE) results for crystalline Nd2RhBr at its relaxed geometry.

Cell: 4.122 4.122 8.203 Å, 89.99 104.56 120.00°
Fractional positions:
Nd  0.536  0.268  0.804
Nd  0.464  0.732  0.196
Rh  0.000  0.000  0.000
Br  0.000  0.500  0.500

Computed properties:
ΔE_f (raw): -1.075 eV/atom
polymorph energy (0 for the lowest one): 0.00 eV/f.u.
ρ: 6.777 g/cm³
magnetization: 0.0 μB per formula unit

DFT (PBE) results for crystalline AcTb2Mg6 at its relaxed geometry.

Cell: 3.449 9.182 9.182 Å, 120.00 90.00 90.00°
Fractional positions:
Ac  0.000  0.000  0.000
Tb  0.000  0.333  0.667
Tb  0.000  0.667  0.333
Mg  0.500  0.340  0.340
Mg  0.500  0.660  0.660
Mg  0.500  0.000  0.660
Mg  0.500  0.660  0.000
Mg  0.500  0.340  0.000
Mg  0.500  0.000  0.340

Computed properties:
ρ: 4.554 g/cm³
magnetization: 0.0 μB per formula unit
formation energy from the elements: -0.050 eV per atom

DFT (PBE) results for crystalline SrTl3 at its relaxed geometry.

Cell: 5.734 7.102 7.102 Å, 120.04 90.00 90.00°
Fractional positions:
Sr  0.250  0.667  0.333
Sr  0.750  0.333  0.667
Tl  0.750  0.840  0.160
Tl  0.750  0.320  0.160
Tl  0.750  0.840  0.680
Tl  0.250  0.160  0.840
Tl  0.250  0.680  0.840
Tl  0.250  0.160  0.320

Computed properties:
ρ: 9.297 g/cm³
magnetization: 0.0 μB per formula unit
formation energy from the elements: -0.255 eV per atom

DFT (PBE) results for crystalline Pm7Cd4Pb at its relaxed geometry.

Cell: 5.974 9.130 8.051 Å, 66.23 68.22 70.90°
Fractional positions:
Pm  0.820  0.878  0.482
Pm  0.180  0.122  0.518
Pm  0.074  0.591  0.261
Pm  0.926  0.409  0.739
Pm  0.264  0.702  0.770
Pm  0.500  0.000  0.000
Pm  0.736  0.298  0.230
Cd  0.525  0.321  0.629
Cd  0.475  0.679  0.371
Cd  0.689  0.661  0.961
Cd  0.311  0.339  0.039
Pb  0.000  0.000  0.000

Computed properties:
ρ: 7.608 g/cm³
magnetization: 0.0 μB per formula unit
formation energy from the elements: -0.160 eV per atom

DFT (PBE) results for crystalline Tl2AsBr at its relaxed geometry.

Cell: 7.065 7.065 7.065 Å, 143.57 143.57 52.48°
Fractional positions:
Tl  0.000  0.000  0.000
Tl  0.250  0.750  0.500
As  0.500  0.500  0.000
Br  0.750  0.250  0.500

Computed properties:
ΔE_f (raw): -0.018 eV/atom
polymorph energy (0 for the lowest one): 0.66 eV/f.u.
ρ: 7.569 g/cm³
magnetization: 0.8 μB per formula unit

DFT (PBE) results for crystalline ScBePdO2 at its relaxed geometry.

Cell: 3.967 5.057 3.967 Å, 90.00 90.00 90.00°
Fractional positions:
Sc  0.000  0.500  0.000
Be  0.500  0.500  0.500
O  0.000  0.000  0.500
O  0.500  0.000  0.000
Pd  0.000  0.000  0.000

Computed properties:
ΔE_f (raw): 0.325 eV/atom
ρ: 4.015 g/cm³
magnetization: 0.6 μB per formula unit

DFT (PBE) results for crystalline Cs3CaPb2Cl9 at its relaxed geometry.

Cell: 7.983 7.983 9.775 Å, 90.00 90.00 120.00°
Fractional positions:
Cs  0.333  0.667  0.666
Cs  0.000  0.000  0.000
Cs  0.667  0.333  0.334
Ca  0.000  0.000  0.500
Pb  0.333  0.667  0.173
Pb  0.667  0.333  0.827
Cl  0.838  0.162  0.660
Cl  0.838  0.677  0.660
Cl  0.323  0.162  0.660
Cl  0.677  0.838  0.340
Cl  0.162  0.323  0.340
Cl  0.162  0.838  0.340
Cl  0.500  0.000  0.000
Cl  0.000  0.500  0.000
Cl  0.500  0.500  0.000

Computed properties:
ΔE_f (raw): -1.771 eV/atom
ρ: 3.608 g/cm³
magnetization: 0.0 μB per formula unit

DFT (PBE) results for crystalline Hf2Te2H at its relaxed geometry.

Cell: 3.710 3.710 16.859 Å, 96.32 96.32 90.00°
Fractional positions:
Hf  0.974  0.474  0.947
Hf  0.724  0.724  0.447
Hf  0.276  0.276  0.553
Hf  0.526  0.026  0.053
Te  0.820  0.820  0.641
Te  0.070  0.570  0.141
Te  0.430  0.930  0.859
Te  0.180  0.180  0.359
H  0.500  0.500  0.000
H  0.750  0.250  0.500

Computed properties:
raw total energy: -0.237 Ha/atom
ρ: 8.882 g/cm³
magnetization: 0.0 μB per formula unit

DFT (PBE) results for crystalline Tb4Ho8Tm3 at its relaxed geometry.

Cell: 6.664 9.192 9.192 Å, 87.64 111.39 111.39°
Fractional positions:
Tb  0.500  0.000  0.000
Tb  0.000  0.500  0.000
Tb  0.000  0.000  0.000
Tb  0.000  0.000  0.500
Ho  0.517  0.265  0.265
Ho  0.000  0.640  0.360
Ho  0.000  0.270  0.270
Ho  0.500  0.747  0.253
Ho  0.500  0.253  0.747
Ho  0.000  0.730  0.730
Ho  0.000  0.360  0.640
Ho  0.483  0.735  0.735
Tm  0.500  0.500  0.000
Tm  0.500  0.000  0.500
Tm  0.500  0.500  0.500

Computed properties:
polymorph energy (0 for the lowest one): 3.92 eV/f.u.
ρ: 8.422 g/cm³
magnetization: 0.0 μB per formula unit
formation energy from the elements: 0.400 eV per atom

DFT (PBE) results for crystalline Ca2TiMnAu at its relaxed geometry.

Cell: 5.520 4.782 5.520 Å, 90.00 90.00 90.00°
Fractional positions:
Ca  0.000  0.000  0.500
Ca  0.500  0.000  0.000
Mn  0.000  0.500  0.000
Au  0.000  0.000  0.000
Ti  0.500  0.500  0.500

Computed properties:
ρ: 4.331 g/cm³
magnetization: 2.9 μB per formula unit
formation energy from the elements: 0.907 eV per atom

DFT (PBE) results for crystalline NbCuMo at its relaxed geometry.

Cell: 2.700 5.307 6.861 Å, 76.50 80.16 79.29°
Fractional positions:
Mo  0.516  0.226  0.513
Mo  0.844  0.525  0.172
Nb  0.188  0.835  0.821
Nb  0.353  0.026  0.178
Cu  0.804  0.348  0.839
Cu  0.884  0.695  0.504

Computed properties:
polymorph energy (0 for the lowest one): 0.00 eV/f.u.
ρ: 9.006 g/cm³
magnetization: 0.0 μB per formula unit
formation energy from the elements: 0.111 eV per atom

Question: What is the magnetization in the tenth record?
Answer: 0.0 μB per formula unit